Record 1
A plane-wave DFT calculation with PBE was carried out for crystalline ErZn12Ag4 at its relaxed geometry.

Unit cell a=7.656 b=7.656 c=7.656 alpha=109.47 beta=109.47 gamma=109.47
Positions (direct):
Er 0.000 0.000 0.000
Zn 0.855 0.357 0.211
Zn 0.357 0.502 0.145
Zn 0.789 0.145 0.643
Zn 0.357 0.211 0.855
Zn 0.211 0.855 0.357
Zn 0.643 0.498 0.855
Zn 0.502 0.145 0.357
Zn 0.498 0.855 0.643
Zn 0.643 0.789 0.145
Zn 0.855 0.643 0.498
Zn 0.145 0.357 0.502
Zn 0.145 0.643 0.789
Ag 0.000 0.500 0.000
Ag 0.500 0.000 0.000
Ag 0.500 0.500 0.500
Ag 0.000 0.000 0.500

## Properties
Calculated formation energy   0.215 eV per atom

Record 2
A plane-wave DFT calculation with PBE was carried out for crystalline CsLiAgHg2 at its relaxed geometry.

Unit cell a=5.575 b=5.575 c=5.331 alpha=90.00 beta=90.00 gamma=90.00
Positions (direct):
Cs 0.500 0.500 0.500
Hg 0.000 0.500 0.000
Hg 0.500 0.000 0.000
Ag 0.000 0.000 0.000
Li 0.000 0.000 0.500

## Properties
Offset from the most stable computed form   10 kJ/mol of formula units
Calculated formation energy   -0.070 eV per atom

Record 3
A plane-wave DFT calculation with PBE was carried out for crystalline LaReIN2 at its relaxed geometry.

Unit cell a=4.138 b=5.412 c=4.138 alpha=90.00 beta=90.00 gamma=90.00
Positions (direct):
I 0.000 0.500 0.000
Re 0.000 0.000 0.000
N 0.000 0.000 0.500
N 0.500 0.000 0.000
La 0.500 0.500 0.500

## Properties
Offset from the most stable computed form   0 kJ/mol of formula units
E_form (uncorrected)   1.19 eV/f.u.

Record 4
A plane-wave DFT calculation with PBE was carried out for crystalline SmEr2Hg at its relaxed geometry.

Unit cell a=4.781 b=4.822 c=4.822 alpha=90.00 beta=90.00 gamma=90.00
Positions (direct):
Hg 0.500 0.000 0.000
Sm 0.500 0.500 0.500
Er 0.000 0.000 0.500
Er 0.000 0.500 0.000

## Properties
Offset from the most stable computed form   31 kJ/mol of formula units
Calculated formation energy   -0.153 eV per atom

Record 5
A plane-wave DFT calculation with PBE was carried out for crystalline EuTm2O at its relaxed geometry.

Unit cell a=3.454 b=3.454 c=9.541 alpha=79.57 beta=79.57 gamma=60.00
Positions (direct):
Eu 0.000 0.000 0.000
Tm 0.120 0.120 0.639
Tm 0.880 0.880 0.361
O 0.500 0.500 0.500

## Properties
E_form (uncorrected)   -4.81 eV/f.u.

Record 6
A plane-wave DFT calculation with PBE was carried out for crystalline Ag2AsRu at its relaxed geometry.

Unit cell a=7.531 b=7.531 c=5.896 alpha=50.30 beta=50.30 gamma=90.00
Positions (direct):
Ru 0.000 0.000 0.000
Ru 0.750 0.250 0.500
As 0.500 0.500 0.000
As 0.250 0.750 0.500
Ag 0.606 0.125 0.250
Ag 0.144 0.625 0.250
Ag 0.375 0.394 0.750
Ag 0.875 0.856 0.750

## Properties
Calculated formation energy   0.542 eV per atom

Record 7
A plane-wave DFT calculation with PBE was carried out for crystalline Pr4AsCCl2 at its relaxed geometry.

Unit cell a=4.007 b=7.174 c=7.471 alpha=108.10 beta=90.00 gamma=90.00
Positions (direct):
Pr 0.500 0.207 0.200
Pr 0.500 0.793 0.800
Pr 0.000 0.228 0.791
Pr 0.000 0.772 0.209
As 0.500 0.500 0.000
C 0.000 0.000 0.000
Cl 0.500 0.000 0.500
Cl 0.000 0.500 0.500

## Properties
E_form (uncorrected)   -10.02 eV/f.u.

Record 8
A plane-wave DFT calculation with PBE was carried out for crystalline Mn4Co2Ir at its relaxed geometry.

Unit cell a=6.050 b=6.050 c=6.050 alpha=73.79 beta=68.87 gamma=111.13
Positions (direct):
Mn 0.716 0.992 0.456
Mn 0.784 0.525 0.422
Mn 0.052 0.258 0.525
Mn 0.448 0.456 0.828
Mn 0.216 0.794 0.258
Mn 0.948 0.422 0.794
Mn 0.552 0.725 0.992
Mn 0.284 0.828 0.725
Co 0.046 0.421 0.125
Co 0.546 0.125 0.829
Co 0.954 0.829 0.625
Co 0.454 0.625 0.421
Ir 0.500 0.250 0.250
Ir 0.000 0.000 0.000

## Properties
Calculated formation energy   0.402 eV per atom

no.,size of the total moment (μB/cell)
1,0.0
2,0.0
3,0.0
4,0.5
5,7.4
6,1.0
7,0.0
8,10.6